# TaNb2AuN

A relaxed TaNb2AuN crystal (PBE, Alexandria via LeMat-Bulk).

Calculated values
**Total DFT energy (no corrections)**: -9.226 eV/atom
**Volume**: 15.555 A^3/atom
**Density of states at the Fermi level**: 4.14 states/eV per cell
**Uncorrected formation energy**: -2.5 eV per formula unit

a b c (Å): 4.2904 4.2904 4.2253
angles (deg): 90.00 90.00 90.00
Closest atoms and distances in Å follow each position.
Space group P4/mmm (No. 123)
Symmetry-distinct sites (fractional):
Ta 0.0000 0.0000 0.0000 (multiplicity 1)  2 N 2.11
Nb 0.0000 0.5000 0.5000 (multiplicity 2)  2 N 2.15
Au 0.5000 0.5000 0.0000 (multiplicity 1)  8 Nb 3.01, 4 Ta 3.03
N 0.0000 0.0000 0.5000 (multiplicity 1)  2 Ta 2.11, 4 Nb 2.15

=====

# YTmSn6

A relaxed YTmSn6 crystal (PBE, Alexandria via LeMat-Bulk).

Calculated values
**Total DFT energy (no corrections)**: -4.769 eV/atom
**Volume**: 26.087 A^3/atom
**Density of states at the Fermi level**: 3.35 states/eV per cell

a b c (Å): 4.7811 4.7811 9.1296
angles (deg): 90.00 90.00 90.00
Closest atoms and distances in Å follow each position.
Space group P4/mmm (No. 123)
Symmetry-distinct sites (fractional):
Y 0.0000 0.0000 0.0000 (multiplicity 1)  12 Sn 3.32-3.38
Tm 0.0000 0.0000 0.5000 (multiplicity 1)  12 Sn 3.29-3.38
Sn 0.0000 0.5000 0.2525 (multiplicity 4)  8 Sn 3.29-3.38, 2 Tm 3.29, 2 Y 3.32
Sn 0.5000 0.5000 0.0000 (multiplicity 1)  8 Sn 3.32, 4 Y 3.38
Sn 0.5000 0.5000 0.5000 (multiplicity 1)  8 Sn 3.29, 4 Tm 3.38

=====

# AcNdTlNi

A relaxed AcNdTlNi crystal (PBE, Alexandria via LeMat-Bulk).

Calculated values
**Total DFT energy (no corrections)**: -4.379 eV/atom
**Volume**: 28.545 A^3/atom
**Density of states at the Fermi level**: 16.42 states/eV per cell

a b c (Å): 7.7011 7.7011 7.7011
angles (deg): 90.00 90.00 90.00
Closest atoms and distances in Å follow each position.
Space group F-43m (No. 216)
Symmetry-distinct sites (fractional):
Ac 0.0000 0.0000 0.0000 (multiplicity 4)  4 Tl 3.33, 4 Ni 3.33
Nd 0.0000 0.0000 0.5000 (multiplicity 4)  4 Tl 3.33, 4 Ni 3.33
Tl 0.2500 0.2500 0.2500 (multiplicity 4)  4 Ac 3.33, 4 Nd 3.33
Ni 0.2500 0.2500 0.7500 (multiplicity 4)  4 Ac 3.33, 4 Nd 3.33

=====

# BPb

A relaxed BPb crystal (PBE, Alexandria via LeMat-Bulk).

Calculated values
**Total DFT energy (no corrections)**: -4.298 eV/atom
**Energy above the most stable polymorph in this dataset**: 0.17 eV/f.u.
**Volume**: 20.097 A^3/atom
**Density of states at the Fermi level**: 4.41 states/eV per cell

a b c (Å): 5.3072 7.6870 7.8818
angles (deg): 90.00 90.00 90.00
Closest atoms and distances in Å follow each position.
Space group P2_12_12_1 (No. 19)
Symmetry-distinct sites (fractional):
B 0.0746 0.0723 0.3990 (multiplicity 4)  1 B 1.60
B 0.1656 0.4556 0.0526 (multiplicity 4)  1 B 1.60
Pb 0.0304 0.8984 0.0957 (multiplicity 4)  4 B 2.52-2.75
Pb 0.0427 0.7689 0.6640 (multiplicity 4)  2 B 2.48-2.49

=====

# Cu2AsRuO

A relaxed Cu2AsRuO crystal (PBE, Alexandria via LeMat-Bulk).

Calculated values
**Total DFT energy (no corrections)**: -4.338 eV/atom
**Volume**: 18.069 A^3/atom
**Density of states at the Fermi level**: 5.24 states/eV per cell
**Uncorrected formation energy**: 5.4 eV per formula unit

a b c (Å): 4.4148 4.4148 4.6353
angles (deg): 90.00 90.00 90.00
Closest atoms and distances in Å follow each position.
Space group P4/mmm (No. 123)
Symmetry-distinct sites (fractional):
Cu 0.0000 0.5000 0.0000 (multiplicity 2)  2 As 2.21
As 0.0000 0.0000 0.0000 (multiplicity 1)  4 Cu 2.21, 2 Ru 2.32
Ru 0.0000 0.0000 0.5000 (multiplicity 1)  2 As 2.32
O 0.5000 0.5000 0.5000 (multiplicity 1)  4 Ru 3.12, 8 Cu 3.20

=====

# YAu3

A relaxed YAu3 crystal (PBE, Alexandria via LeMat-Bulk).

Calculated values
**Total DFT energy (no corrections)**: -4.684 eV/atom
**Volume**: 20.566 A^3/atom
**Density of states at the Fermi level**: 8.86 states/eV per cell

a b c (Å): 4.4779 4.4779 16.4105
angles (deg): 90.00 90.00 90.00
Closest atoms and distances in Å follow each position.
Space group I4/mmm (No. 139)
Symmetry-distinct sites (fractional):
Y 0.0000 0.0000 0.1289 (multiplicity 4)  12 Au 2.99-3.17
Au 0.0000 0.0000 0.3776 (multiplicity 4)  8 Au 3.01-3.07, 4 Y 3.17
Au 0.0000 0.5000 0.0000 (multiplicity 4)  8 Au 3.01-3.17, 4 Y 3.08
Au 0.0000 0.5000 0.2500 (multiplicity 4)  4 Y 2.99, 8 Au 3.07-3.17

=====

# TaTc2Ir

A relaxed TaTc2Ir crystal (PBE, Alexandria via LeMat-Bulk).

Calculated values
**Total DFT energy (no corrections)**: -10.534 eV/atom
**Energy above the most stable polymorph in this dataset**: 0.36 eV/f.u.
**Volume**: 15.413 A^3/atom
**Density of states at the Fermi level**: 6.73 states/eV per cell

a b c (Å): 9.2257 2.7902 4.8588
angles (deg): 90.00 99.65 90.00
Closest atoms and distances in Å follow each position.
Space group Cm (No. 8)
Symmetry-distinct sites (fractional):
Ta 0.0000 0.0000 0.0000 (multiplicity 2)  3 Ir 2.78-2.80, 2 Ta 2.79, 7 Tc 2.80-2.88
Tc 0.0063 0.5000 0.5023 (multiplicity 2)  5 Tc 2.71-2.79, 3 Ir 2.74-2.83, 4 Ta 2.80
Tc 0.2567 0.5000 0.2779 (multiplicity 2)  4 Ir 2.69-2.91, 5 Tc 2.71-2.79, 3 Ta 2.81-2.88
Ir 0.2492 0.0000 0.7495 (multiplicity 2)  7 Tc 2.69-2.91, 3 Ta 2.78-2.80, 2 Ir 2.79

=====

# RbSr2ZnCl

A relaxed RbSr2ZnCl crystal (PBE, Alexandria via LeMat-Bulk).

Calculated values
**Total DFT energy (no corrections)**: -1.873 eV/atom
**Volume**: 48.583 A^3/atom
**Density of states at the Fermi level**: 4.50 states/eV per cell
**Uncorrected formation energy**: -1.9 eV per formula unit

a b c (Å): 5.9052 5.9052 6.9662
angles (deg): 90.00 90.00 90.00
Closest atoms and distances in Å follow each position.
Space group P4/mmm (No. 123)
Symmetry-distinct sites (fractional):
Rb 0.0000 0.0000 0.0000 (multiplicity 1)  4 Zn 4.18, 8 Sr 4.57
Sr 0.0000 0.5000 0.5000 (multiplicity 2)  2 Cl 2.95
Zn 0.5000 0.5000 0.0000 (multiplicity 1)  2 Cl 3.48
Cl 0.5000 0.5000 0.5000 (multiplicity 1)  4 Sr 2.95

=====

- Among the records above, which one has the lowest total DFT energy (no corrections)?
  TaTc2Ir

=====

- total DFT energy (no corrections) of number 8 (RbSr2ZnCl)?
  -1.873 eV/atom

=====

- Which of these has the highest density of states at the Fermi level?
  AcNdTlNi

=====

Please write out number 1 again, unchanged.
# TaNb2AuN

A relaxed TaNb2AuN crystal (PBE, Alexandria via LeMat-Bulk).

Calculated values
**Total DFT energy (no corrections)**: -9.226 eV/atom
**Volume**: 15.555 A^3/atom
**Density of states at the Fermi level**: 4.14 states/eV per cell
**Uncorrected formation energy**: -2.5 eV per formula unit

a b c (Å): 4.2904 4.2904 4.2253
angles (deg): 90.00 90.00 90.00
Closest atoms and distances in Å follow each position.
Space group P4/mmm (No. 123)
Symmetry-distinct sites (fractional):
Ta 0.0000 0.0000 0.0000 (multiplicity 1)  2 N 2.11
Nb 0.0000 0.5000 0.5000 (multiplicity 2)  2 N 2.15
Au 0.5000 0.5000 0.0000 (multiplicity 1)  8 Nb 3.01, 4 Ta 3.03
N 0.0000 0.0000 0.5000 (multiplicity 1)  2 Ta 2.11, 4 Nb 2.15